Here is Al2FeHgS after structural relaxation from Alexandria. Energies are from GGA-PBE.

Cell: 4.9928 4.9928 5.2235 Å, 90.00 90.00 90.00°
With the nearest neighbours (Å) after each atom.
Atoms (fractional coordinates):
Al: 0.0000 0.5000 0.0000  2 Hg 2.50
Al: 0.5000 0.0000 0.0000  2 Hg 2.50
Fe: 0.0000 0.0000 0.5000  4 S 3.53, 8 Al 3.61
Hg: 0.5000 0.5000 0.0000  4 Al 2.50, 2 S 2.61
S: 0.5000 0.5000 0.5000  2 Hg 2.61

Calculated values
The space group is P4/mmm (123). The calculation puts the total moment at 3.76 Bohr magnetons per cell. Its formation energy without anion corrections is 1.1941 eV/atom. The crystal system is tetragonal. For the final energy, the calculation gives -2.88 eV/atom.

Here is Ba2MgTe after structural relaxation from Alexandria. Energies are from GGA-PBE.

Cell: 7.9717 7.9717 7.9717 Å, 107.44 107.44 113.61°
With the nearest neighbours (Å) after each atom.
Atoms (fractional coordinates):
Ba: 0.1040 0.6250 0.9790  2 Te 3.38, 2 Mg 3.65
Ba: 0.3750 0.3540 0.4790  2 Te 3.38, 2 Mg 3.65
Ba: 0.6460 0.1250 0.0210  2 Te 3.38, 2 Mg 3.65
Ba: 0.8750 0.8960 0.5210  2 Te 3.38, 2 Mg 3.65
Mg: 0.2500 0.7500 0.5000  4 Ba 3.65
Mg: 0.5000 0.5000 0.0000  4 Ba 3.65
Te: 0.0000 0.0000 0.0000  4 Ba 3.38
Te: 0.7500 0.2500 0.5000  4 Ba 3.38

Calculated values
The space group is I-42d (122). The calculation puts the total moment at 0.00 Bohr magnetons per cell. Its formation energy without anion corrections is -0.5724 eV/atom. The crystal system is tetragonal. For the final energy, the calculation gives -2.72 eV/atom. The energy above the most stable polymorph in this dataset is 213 meV/atom.

Here is UCuPtO6 after structural relaxation from Alexandria. Energies are from GGA-PBE.

Cell: 5.2623 5.2623 9.1977 Å, 90.00 90.00 120.00°
With the nearest neighbours (Å) after each atom.
Atoms (fractional coordinates):
U: 0.3333 0.6667 0.2500  6 O 2.10
U: 0.6667 0.3333 0.7500  6 O 2.10
Cu: 0.0000 0.0000 0.0000  6 O 2.13
Cu: 0.0000 0.0000 0.5000  6 O 2.13
Pt: 0.3333 0.6667 0.7500  6 O 2.05
Pt: 0.6667 0.3333 0.2500  6 O 2.05
O: 0.0083 0.3413 0.6278  1 Pt 2.05, 1 U 2.10, 1 Cu 2.13
O: 0.0083 0.6671 0.8722  1 Pt 2.05, 1 U 2.10, 1 Cu 2.13
O: 0.3329 0.3413 0.8722  1 Pt 2.05, 1 U 2.10, 1 Cu 2.13
O: 0.3329 0.9917 0.6278  1 Pt 2.05, 1 U 2.10, 1 Cu 2.13
O: 0.3413 0.0083 0.1278  1 Pt 2.05, 1 U 2.10, 1 Cu 2.13
O: 0.3413 0.3329 0.3722  1 Pt 2.05, 1 U 2.10, 1 Cu 2.13
O: 0.6587 0.6671 0.6278  1 Pt 2.05, 1 U 2.10, 1 Cu 2.13
O: 0.6587 0.9917 0.8722  1 Pt 2.05, 1 U 2.10, 1 Cu 2.13
O: 0.6671 0.0083 0.3722  1 Pt 2.05, 1 U 2.10, 1 Cu 2.13
O: 0.6671 0.6587 0.1278  1 Pt 2.05, 1 U 2.10, 1 Cu 2.13
O: 0.9917 0.3329 0.1278  1 Pt 2.05, 1 U 2.10, 1 Cu 2.13
O: 0.9917 0.6587 0.3722  1 Pt 2.05, 1 U 2.10, 1 Cu 2.13

Calculated values
The space group is P-31c (163). The calculation puts the total moment at 2.01 Bohr magnetons per cell. Its formation energy without anion corrections is -1.5507 eV/atom. The crystal system is trigonal. For the final energy, the calculation gives -7.24 eV/atom.

Here is Tl3H2Br3 after structural relaxation from Alexandria. Energies are from GGA-PBE.

Cell: 3.9400 6.1826 9.5512 Å, 71.13 89.58 89.75°
With the nearest neighbours (Å) after each atom.
Atoms (fractional coordinates):
Tl: 0.0000 0.0000 0.0000  8 Br 3.41-3.67
Tl: 0.4869 0.3316 0.3367  2 H 1.97
Tl: 0.5131 0.6684 0.6633  2 H 1.97
H: 0.0128 0.6722 0.6562  2 Tl 1.97
H: 0.9872 0.3278 0.3438  2 Tl 1.97
Br: 0.4962 0.8460 0.3076  5 Tl 3.10-3.41
Br: 0.5000 0.5000 0.0000  2 Tl 3.04
Br: 0.5038 0.1540 0.6924  5 Tl 3.10-3.41

Calculated values
The space group is P-1 (2). The calculation puts the total moment at 0.00 Bohr magnetons per cell. The crystal system is triclinic. For the final energy, the calculation gives -2.69 eV/atom.

Here is Ge3IrO after structural relaxation from Alexandria. Energies are from GGA-PBE.

Cell: 4.2621 4.2621 4.2621 Å, 90.00 90.00 90.00°
With the nearest neighbours (Å) after each atom.
Atoms (fractional coordinates):
Ge: 0.0000 0.0000 0.5000  2 O 2.13
Ge: 0.0000 0.5000 0.0000  2 O 2.13
Ge: 0.5000 0.0000 0.0000  2 O 2.13
Ir: 0.5000 0.5000 0.5000  12 Ge 3.01
O: 0.0000 0.0000 0.0000  6 Ge 2.13

Calculated values
The space group is Pm-3m (221). The calculation puts the total moment at 0.00 Bohr magnetons per cell. Its formation energy without anion corrections is 0.1652 eV/atom. The crystal system is cubic. For the final energy, the calculation gives -5.37 eV/atom. The energy above the most stable polymorph in this dataset is 0 meV/atom.

Here is Ce2Ge6Pd21 after structural relaxation from Alexandria. Energies are from GGA-PBE.

Cell: 8.8171 8.8171 8.8171 Å, 60.00 60.00 60.00°
With the nearest neighbours (Å) after each atom.
Atoms (fractional coordinates):
Ce: 0.2500 0.2500 0.2500  4 Pd 2.84
Ce: 0.7500 0.7500 0.7500  4 Pd 2.84
Ge: 0.2351 0.2351 0.7649  8 Pd 2.45-2.55
Ge: 0.2351 0.7649 0.2351  8 Pd 2.45-2.55
Ge: 0.2351 0.7649 0.7649  8 Pd 2.45-2.55
Ge: 0.7649 0.2351 0.2351  8 Pd 2.45-2.55
Ge: 0.7649 0.2351 0.7649  8 Pd 2.45-2.55
Ge: 0.7649 0.7649 0.2351  8 Pd 2.45-2.55
Pd: 0.1185 0.1185 0.1185  3 Ge 2.55, 1 Ce 2.84
Pd: 0.1185 0.1185 0.6444  3 Ge 2.55, 1 Ce 2.84
Pd: 0.1185 0.6444 0.1185  3 Ge 2.55, 1 Ce 2.84
Pd: 0.1526 0.5000 0.5000  2 Ge 2.45, 1 Pd 2.69
Pd: 0.1526 0.5000 0.8474  2 Ge 2.45, 1 Pd 2.69
Pd: 0.1526 0.8474 0.5000  2 Ge 2.45, 1 Pd 2.69
Pd: 0.3556 0.8815 0.8815  3 Ge 2.55, 1 Ce 2.84
Pd: 0.5000 0.1526 0.5000  2 Ge 2.45, 1 Pd 2.69
Pd: 0.5000 0.1526 0.8474  2 Ge 2.45, 1 Pd 2.69
Pd: 0.5000 0.5000 0.1526  2 Ge 2.45, 1 Pd 2.69
Pd: 0.5000 0.5000 0.5000  12 Pd 3.06, 6 Ge 3.30
Pd: 0.5000 0.5000 0.8474  2 Ge 2.45, 1 Pd 2.69
Pd: 0.5000 0.8474 0.1526  2 Ge 2.45, 1 Pd 2.69
Pd: 0.5000 0.8474 0.5000  2 Ge 2.45, 1 Pd 2.69
Pd: 0.6444 0.1185 0.1185  3 Ge 2.55, 1 Ce 2.84
Pd: 0.8474 0.1526 0.5000  2 Ge 2.45, 1 Pd 2.69
Pd: 0.8474 0.5000 0.1526  2 Ge 2.45, 1 Pd 2.69
Pd: 0.8474 0.5000 0.5000  2 Ge 2.45, 1 Pd 2.69
Pd: 0.8815 0.3556 0.8815  3 Ge 2.55, 1 Ce 2.84
Pd: 0.8815 0.8815 0.3556  3 Ge 2.55, 1 Ce 2.84
Pd: 0.8815 0.8815 0.8815  3 Ge 2.55, 1 Ce 2.84

Calculated values
The space group is Fm-3m (225). The value obtained for the formation energy is -553 meV/atom. The calculation puts the total moment at 0.67 Bohr magnetons per cell. The crystal system is cubic. For the final energy, the calculation gives -5.68 eV/atom.

Here is NaIn2Os after structural relaxation from Alexandria. Energies are from GGA-PBE.

Cell: 4.7532 4.7532 4.7532 Å, 60.00 60.00 60.00°
With the nearest neighbours (Å) after each atom.
Atoms (fractional coordinates):
Na: 0.0000 0.0000 0.0000  8 In 2.91
In: 0.2500 0.2500 0.2500  4 Os 2.91, 4 Na 2.91
In: 0.7500 0.7500 0.7500  4 Na 2.91, 4 Os 2.91
Os: 0.5000 0.5000 0.5000  8 In 2.91

Calculated values
The space group is Fm-3m (225). The value obtained for the formation energy is 309 meV/atom. The calculation puts the total moment at 0.00 Bohr magnetons per cell. The crystal system is cubic. For the final energy, the calculation gives -4.20 eV/atom.

Here is Lu2NiC after structural relaxation from Alexandria. Energies are from GGA-PBE.

Cell: 7.9222 7.9222 7.9222 Å, 24.82 24.82 24.82°
With the nearest neighbours (Å) after each atom.
Atoms (fractional coordinates):
Lu: 0.1098 0.1098 0.1098  3 C 2.36, 1 Ni 2.53
Lu: 0.8902 0.8902 0.8902  3 C 2.36, 1 Ni 2.53
Ni: 0.0000 0.0000 0.0000  2 Lu 2.53
C: 0.5000 0.5000 0.5000  6 Lu 2.36

Calculated values
The space group is R-3m (166). The value obtained for the formation energy is 103 meV/atom. The calculation puts the total moment at 0.00 Bohr magnetons per cell. The crystal system is trigonal. For the final energy, the calculation gives -5.91 eV/atom.

Here is LaRe2Se after structural relaxation from Alexandria. Energies are from GGA-PBE.

Cell: 5.4098 5.4098 5.4098 Å, 139.40 117.85 76.92°
With the nearest neighbours (Å) after each atom.
Atoms (fractional coordinates):
La: 0.0000 0.0000 0.0000  4 Se 3.02-3.36, 8 Re 3.15-3.37
Re: 0.3285 0.8285 0.5000  2 Re 2.42
Re: 0.5092 0.5092 0.0000  2 Re 2.42, 2 Se 2.60
Se: 0.7208 0.2208 0.5000  2 Re 2.60

Calculated values
The space group is Imm2 (44). The calculation puts the total moment at 0.00 Bohr magnetons per cell. Its formation energy without anion corrections is 0.2541 eV/atom. The crystal system is orthorhombic. For the final energy, the calculation gives -8.07 eV/atom.